(1)
First-principles (PBE-GGA) data for a relaxed structure of RbSn2Br6, as listed in the Alexandria database.

Formation energy without anion corrections in meV/atom: -935

```
data_RbSn2Br6
_space_group_name_H-M_alt 'C 1 2/m 1'
_space_group_IT_number 12
_cell_length_a 14.0046
_cell_length_b 5.5265
_cell_length_c 11.0561
_cell_angle_alpha 90.00
_cell_angle_beta 117.60
_cell_angle_gamma 90.00
loop_
_space_group_symop_operation_xyz
'x,y,z'
'-x,-y,-z'
'-x,y,-z'
'x,-y,z'
'x+1/2,y+1/2,z'
'-x+1/2,-y+1/2,-z'
'-x+1/2,y+1/2,-z'
'x+1/2,-y+1/2,z'
loop_
_atom_site_label
_atom_site_type_symbol
_atom_site_fract_x
_atom_site_fract_y
_atom_site_fract_z
Rb1 Rb 0.0000 0.0000 0.0000
Sn1 Sn 0.1806 0.0000 0.6425
Br1 Br 0.0072 0.0000 0.6815
Br2 Br 0.1763 0.5000 0.0925
Br3 Br 0.1969 0.5000 0.6021
```

(2)
First-principles (PBE-GGA) data for a relaxed structure of SrZn2Ni2, as listed in the Alexandria database.

Energy in eV/atom: -3.301

```
data_SrZn2Ni2
_space_group_name_H-M_alt 'I 4/m m m'
_space_group_IT_number 139
_space_group_name_Hall '-I 4 2'
_cell_length_a 4.2548
_cell_length_b 4.2548
_cell_length_c 10.0350
_cell_angle_alpha 90.00
_cell_angle_beta 90.00
_cell_angle_gamma 90.00
loop_
_atom_site_label
_atom_site_type_symbol
_atom_site_fract_x
_atom_site_fract_y
_atom_site_fract_z
Sr1 Sr 0.0000 0.0000 0.0000
Zn1 Zn 0.0000 0.0000 0.3664
Ni1 Ni 0.0000 0.5000 0.2500
```

(3)
First-principles (PBE-GGA) data for a relaxed structure of HoBe2Pt5, as listed in the Alexandria database.

Energy in eV/atom: -6.105

```
data_HoBe2Pt5
_space_group_name_H-M_alt 'I m m m'
_space_group_IT_number 71
_space_group_name_Hall '-I 2 2'
_cell_length_a 3.8550
_cell_length_b 6.5990
_cell_length_c 9.6865
_cell_angle_alpha 90.00
_cell_angle_beta 90.00
_cell_angle_gamma 90.00
loop_
_atom_site_label
_atom_site_type_symbol
_atom_site_fract_x
_atom_site_fract_y
_atom_site_fract_z
Ho1 Ho 0.0000 0.0000 0.0000
Be1 Be 0.0000 0.5000 0.2321
Pt1 Pt 0.0000 0.2094 0.3510
Pt2 Pt 0.0000 0.5000 0.0000
```

(4)
First-principles (PBE-GGA) data for a relaxed structure of KScPt3, as listed in the Alexandria database.

Energy in eV/atom: -3.650

```
data_KScPt3
_space_group_name_H-M_alt 'P m -3 m'
_space_group_IT_number 221
_space_group_name_Hall '-P 4 2 3'
_cell_length_a 4.9194
_cell_length_b 4.9194
_cell_length_c 4.9194
_cell_angle_alpha 90.00
_cell_angle_beta 90.00
_cell_angle_gamma 90.00
loop_
_atom_site_label
_atom_site_type_symbol
_atom_site_fract_x
_atom_site_fract_y
_atom_site_fract_z
K1 K 0.0000 0.0000 0.0000
Sc1 Sc 0.5000 0.5000 0.5000
Pt1 Pt 0.0000 0.0000 0.5000
```

(5)
First-principles (PBE-GGA) data for a relaxed structure of LaPuThSc, as listed in the Alexandria database.

Energy in eV/atom: -8.080

```
data_LaPuThSc
_space_group_name_H-M_alt 'F -4 3 m'
_space_group_IT_number 216
_space_group_name_Hall 'F -4 2 3'
_cell_length_a 7.7924
_cell_length_b 7.7924
_cell_length_c 7.7924
_cell_angle_alpha 90.00
_cell_angle_beta 90.00
_cell_angle_gamma 90.00
loop_
_atom_site_label
_atom_site_type_symbol
_atom_site_fract_x
_atom_site_fract_y
_atom_site_fract_z
La1 La 0.0000 0.0000 0.0000
Pu1 Pu 0.2500 0.2500 0.2500
Th1 Th 0.0000 0.0000 0.5000
Sc1 Sc 0.2500 0.2500 0.7500
```

(6)
First-principles (PBE-GGA) data for a relaxed structure of LiPuAsPd, as listed in the Alexandria database.

Energy in eV/atom: -7.061

```
data_LiPuAsPd
_space_group_name_H-M_alt 'F -4 3 m'
_space_group_IT_number 216
_space_group_name_Hall 'F -4 2 3'
_cell_length_a 6.7573
_cell_length_b 6.7573
_cell_length_c 6.7573
_cell_angle_alpha 90.00
_cell_angle_beta 90.00
_cell_angle_gamma 90.00
loop_
_atom_site_label
_atom_site_type_symbol
_atom_site_fract_x
_atom_site_fract_y
_atom_site_fract_z
Li1 Li 0.0000 0.0000 0.0000
Pu1 Pu 0.0000 0.0000 0.5000
As1 As 0.2500 0.2500 0.2500
Pd1 Pd 0.2500 0.2500 0.7500
```

Fermi-level density of states: 0.1922; 0.3809; 0.2413; 0.6710; 3.3155; 2.7518 (states/eV/atom)
Total magnetization: 0.000; 0.000; 0.000; 0.000; 1.757; 1.285 (μB/atom)